DFT (PBE) results for a relaxed DyHo2PaBi4 crystal.

Results
Magnetic moment: 0.135 μB per atom
Total DFT energy (no corrections): -5.487 eV/atom
Formation energy from the elements: -0.64 eV per atom
Crystal system: monoclinic

Cell: 7.7422 4.4592 7.7452 Å, 90.00 109.24 90.00°
Fractional coordinates of all 8 atoms:
Dy 0.0000 0.0000 0.0000
Ho 0.5000 0.0000 0.5000
Ho 0.5000 0.5000 0.0000
Pa 0.0000 0.5000 0.5000
Bi 0.2510 0.5000 0.2505
Bi 0.2529 0.0000 0.7522
Bi 0.7471 0.0000 0.2478
Bi 0.7490 0.5000 0.7495